[1]
This record from Alexandria via LeMat-Bulk describes Sr2YSnO6 after structural relaxation. The functional is GGA-PBE.

Cell: 5.9144 6.0272 10.2727 Å, 90.00 125.02 90.00°
Closest atoms and distances in Å follow each position.
Space group P2_1/c (No. 14)
Asymmetric unit:
Sr (0.2383, 0.0422, 0.2504) x4  6 O 2.54-2.81
Y (0.5000, 0.0000, 0.0000) x2  6 O 2.25-2.26
Sn (0.0000, 0.0000, 0.5000) x2  6 O 2.09
O (0.1491, 0.2210, 0.9503) x4  1 Sn 2.09, 1 Y 2.26
O (0.2355, 0.7017, 0.9546) x4  1 Sn 2.09, 1 Y 2.25
O (0.3293, 0.0316, 0.7396) x4  1 Sn 2.09, 1 Y 2.26



[2]
This record from Alexandria via LeMat-Bulk describes Sr2YSnO after structural relaxation. The functional is GGA-PBE.

Output
**Energy relative to the lowest polymorph listed for this composition**: 835.7 meV per atom

Cell: 6.8164 6.8164 4.1409 Å, 90.00 90.00 90.00°
Closest atoms and distances in Å follow each position.
Space group P4/mmm (No. 123)
Asymmetric unit:
Sr (0.0000, 0.5000, 0.0000) x2  2 Y 3.41
Y (0.0000, 0.0000, 0.0000) x1  2 O 2.07
Sn (0.5000, 0.5000, 0.5000) x1  8 Sr 3.99, 2 Sn 4.14
O (0.0000, 0.0000, 0.5000) x1  2 Y 2.07



[3]
This record from Alexandria via LeMat-Bulk describes Sr3Zn2SnO6 after structural relaxation. The functional is GGA-PBE.

Cell: 5.8457 5.8457 6.6151 Å, 90.00 90.00 120.00°
Closest atoms and distances in Å follow each position.
Space group P-3m1 (No. 164)
Asymmetric unit:
Sr (0.0000, 0.0000, 0.0000) x1  6 O 2.66
Sr (0.3333, 0.6667, 0.6252) x2  9 O 2.68-2.95
Zn (0.3333, 0.6667, 0.1572) x2  3 O 1.99
Sn (0.0000, 0.0000, 0.5000) x1  6 O 2.08
O (0.1650, 0.3300, 0.3132) x6  1 Zn 1.99, 1 Sn 2.08



[4]
This record from Alexandria via LeMat-Bulk describes SrZnSnO4 after structural relaxation. The functional is GGA-PBE.

Cell: 6.5608 10.0148 6.8004 Å, 90.00 90.00 90.00°
Closest atoms and distances in Å follow each position.
Space group Cmcm (No. 63)
Asymmetric unit:
Sr (0.0000, 0.0000, 0.0000) x4  6 O 2.51-2.52
Zn (0.0000, 0.3495, 0.2500) x4  4 O 1.98-2.09
Sn (0.0000, 0.3583, 0.7500) x4  4 O 1.99-2.01
O (0.0000, 0.2518, 0.5034) x8  1 Zn 1.98, 1 Sn 1.99
O (0.2187, 0.4985, 0.7500) x8  1 Sn 2.01, 1 Zn 2.09



[5]
This record from Alexandria via LeMat-Bulk describes Sr2ZnSnO5 after structural relaxation. The functional is GGA-PBE.

Cell: 3.3531 14.2145 11.0031 Å, 90.00 90.00 90.00°
Closest atoms and distances in Å follow each position.
Space group Cmc2_1 (No. 36)
Asymmetric unit:
Sr (0.0000, 0.0902, 0.0000) x4  6 O 2.49-2.65
Sr (0.0000, 0.1343, 0.6452) x4  7 O 2.51-2.72
Zn (0.0000, 0.4516, 0.7738) x4  3 O 1.91-2.01
Sn (0.0000, 0.2158, 0.3601) x4  6 O 2.05-2.20
O (0.0000, 0.0664, 0.3722) x4  2 Zn 2.01, 1 Sn 2.13
O (0.0000, 0.2761, 0.9892) x4  2 Sn 2.20
O (0.0000, 0.3027, 0.7375) x4  1 Zn 2.15, 2 Sn 2.17
O (0.0000, 0.3587, 0.3341) x4  1 Sn 2.05
O (0.0000, 0.4954, 0.1146) x4  1 Zn 1.91



[6]
This record from Alexandria via LeMat-Bulk describes Ta4SnO12 after structural relaxation. The functional is GGA-PBE.

Output
**Energy relative to the lowest polymorph listed for this composition**: 155.5 meV per atom

Cell: 7.9382 7.9382 7.9382 Å, 90.00 90.00 90.00°
Closest atoms and distances in Å follow each position.
Space group Im-3m (No. 229)
Asymmetric unit:
Ta (0.2500, 0.2500, 0.2500) x8  6 O 1.99
Sn (0.0000, 0.0000, 0.0000) x2  12 O 2.73
O (0.0000, 0.2432, 0.2432) x24  2 Ta 1.99



[7]
This record from Alexandria via LeMat-Bulk describes TaSnO2 after structural relaxation. The functional is GGA-PBE.

Cell: 3.2348 3.2348 21.0790 Å, 90.00 90.00 120.00°
Closest atoms and distances in Å follow each position.
Space group R-3m (No. 166, hexagonal axes)
Asymmetric unit:
Ta (0.0000, 0.0000, 0.0000) x3  2 O 1.93
Sn (0.0000, 0.0000, 0.5000) x3  6 O 2.45
O (0.0000, 0.0000, 0.0915) x6  1 Ta 1.93



[8]
This record from Alexandria via LeMat-Bulk describes TaSnO after structural relaxation. The functional is GGA-PBE.

Cell: 3.3523 5.9867 6.6737 Å, 98.97 90.25 104.98°
Closest atoms and distances in Å follow each position.
Space group P-1 (No. 2)
Asymmetric unit:
Ta (0.2218, 0.4382, 0.1472) x2  3 O 1.99-2.21
Sn (0.1360, 0.2620, 0.5385) x2  3 Ta 2.95-3.01, 1 Sn 2.99
O (0.3532, 0.7220, 0.9612) x2  3 Ta 1.99-2.21



[9]
This record from Alexandria via LeMat-Bulk describes Ta2SnO after structural relaxation. The functional is GGA-PBE.

Output
**Energy relative to the lowest polymorph listed for this composition**: 0.0 meV per atom

Cell: 5.1981 5.1981 12.0384 Å, 90.00 90.00 90.00°
Closest atoms and distances in Å follow each position.
Space group I-42d (No. 122)
Asymmetric unit:
Ta (0.1011, 0.2500, 0.1250) x8  2 O 2.06
Sn (0.0000, 0.0000, 0.5000) x4  4 Ta 2.87
O (0.0000, 0.0000, 0.0000) x4  4 Ta 2.06



[10]
This record from Alexandria via LeMat-Bulk describes TaSnO3 after structural relaxation. The functional is GGA-PBE.

Cell: 4.0423 4.0423 4.0423 Å, 90.00 90.00 90.00°
Closest atoms and distances in Å follow each position.
Space group Pm-3m (No. 221)
Asymmetric unit:
Ta (0.0000, 0.0000, 0.0000) x1  6 O 2.02
Sn (0.5000, 0.5000, 0.5000) x1  12 O 2.86
O (0.0000, 0.0000, 0.5000) x3  2 Ta 2.02



[11]
This record from Alexandria via LeMat-Bulk describes TaSn2O after structural relaxation. The functional is GGA-PBE.

Cell: 6.6013 6.6013 7.1012 Å, 90.00 90.00 90.00°
Closest atoms and distances in Å follow each position.
Space group I-42d (No. 122)
Asymmetric unit:
Ta (0.0000, 0.0000, 0.0000) x4  4 Sn 2.83
Sn (0.1779, 0.7500, 0.6250) x8  2 O 2.21
O (0.0000, 0.0000, 0.5000) x4  4 Sn 2.21



[12]
This record from Alexandria via LeMat-Bulk describes TaSnO3 after structural relaxation. The functional is GGA-PBE.

Cell: 3.8149 5.4666 9.4408 Å, 82.32 89.95 69.59°
Closest atoms and distances in Å follow each position.
Space group P-1 (No. 2)
Asymmetric unit:
Ta (0.1240, 0.2524, 0.4178) x2  4 O 1.87-2.00
Sn (0.3265, 0.8461, 0.1138) x2  1 O 2.08
O (0.0591, 0.3805, 0.6295) x2  1 Ta 1.87
O (0.1727, 0.1550, 0.2347) x2  1 Ta 1.87, 1 Sn 2.08
O (0.3283, 0.8434, 0.5399) x2  2 Ta 2.00



no.,formation energy (no corrections) (eV/atom)
1,-2.499
2,-0.557
3,-1.876
4,-1.848
5,-2.123
6,-2.372
7,-1.053
8,-0.944
9,-0.190
10,-1.941
11,0.055
12,-2.105